No. 1
Entry from OQMD via LeMat-Bulk: an optimized crystal structure of Cs2OsSeS2 (PBE).

a b c (Å): 7.859 7.859 10.166
angles (deg): 119.06 119.06 54.84
Site moments in Bohr magnetons follow the coordinates.
Positions (direct):
Cs1 0.295 0.295 0.182  0.01
Cs2 0.079 0.079 0.364  0.02
Cs3 0.921 0.921 0.636  0.02
Cs4 0.705 0.705 0.818  0.01
Os1 0.603 0.603 0.149  0.99
Os2 0.397 0.397 0.851  0.99
S1 0.745 0.255 0.000  0.08
S2 0.255 0.745 0.000  0.08
S3 0.787 0.787 0.228  0.14
S4 0.213 0.213 0.772  0.14
Se1 0.612 0.612 0.391  0.14
Se2 0.388 0.388 0.609  0.14

Computed properties:
Energy = -56.90 eV for the cell shown
Symmetry = C2/m, No. 12


No. 2
Entry from OQMD via LeMat-Bulk: an optimized crystal structure of YCd2Hg (PBE).

a b c (Å): 5.060 5.060 5.060
angles (deg): 60.00 60.00 60.00
Positions (direct):
Cd1 0.000 0.000 0.000
Cd2 0.750 0.750 0.750
Hg1 0.250 0.250 0.250
Y1 0.500 0.500 0.500

Computed properties:
Energy = -9.88 eV for the cell shown
Symmetry = F-43m, No. 216
Energy of formation from the pure elements = -332 meV/atom


No. 3
Entry from OQMD via LeMat-Bulk: an optimized crystal structure of NdCuGeSeS2 (PBE).

a b c (Å): 6.656 6.656 10.805
angles (deg): 90.00 90.00 146.21
Positions (direct):
Cu1 0.971 0.029 0.250
Cu2 0.029 0.971 0.750
Ge1 0.281 0.719 0.250
Ge2 0.719 0.281 0.750
Nd1 0.500 0.500 0.000
Nd2 0.500 0.500 0.500
S1 0.855 0.145 0.085
S2 0.855 0.145 0.415
S3 0.145 0.855 0.585
S4 0.145 0.855 0.915
Se1 0.597 0.403 0.250
Se2 0.403 0.597 0.750

Computed properties:
Energy = -60.05 eV for the cell shown
Symmetry = Cmcm, No. 63


No. 4
Entry from OQMD via LeMat-Bulk: an optimized crystal structure of TbYCu2Si2 (PBE).

a b c (Å): 4.152 4.152 7.544
angles (deg): 90.00 90.00 120.00
Positions (direct):
Cu1 0.667 0.333 0.497
Cu2 0.333 0.667 0.999
Si1 0.333 0.667 0.495
Si2 0.667 0.333 0.996
Tb1 0.000 0.000 0.746
Y1 0.000 0.000 0.246

Computed properties:
Energy = -33.43 eV for the cell shown
Symmetry = P3m1, No. 156


No. 5
Entry from OQMD via LeMat-Bulk: an optimized crystal structure of GdAl3Pb2O8 (PBE).

a b c (Å): 9.452 9.452 9.452
angles (deg): 90.00 90.00 90.00
Positions (direct):
Al1 0.750 0.250 0.000
Al2 0.250 0.750 0.000
Al3 0.750 0.000 0.250
Al4 0.750 0.500 0.250
Al5 0.000 0.750 0.250
Al6 0.500 0.750 0.250
Al7 0.750 0.250 0.500
Al8 0.250 0.750 0.500
Al9 0.250 0.000 0.750
Al10 0.000 0.250 0.750
Al11 0.500 0.250 0.750
Al12 0.250 0.500 0.750
Gd1 0.000 0.000 0.000
Gd2 0.500 0.500 0.000
Gd3 0.500 0.000 0.500
Gd4 0.000 0.500 0.500
O1 0.764 0.090 0.090
O2 0.736 0.410 0.090
O3 0.410 0.736 0.090
O4 0.090 0.764 0.090
O5 0.138 0.138 0.138
O6 0.362 0.362 0.138
O7 0.590 0.590 0.236
O8 0.910 0.910 0.236
O9 0.910 0.590 0.264
O10 0.590 0.910 0.264
O11 0.362 0.138 0.362
O12 0.138 0.362 0.362
O13 0.736 0.090 0.410
O14 0.764 0.410 0.410
O15 0.090 0.736 0.410
O16 0.410 0.764 0.410
O17 0.590 0.236 0.590
O18 0.910 0.264 0.590
O19 0.236 0.590 0.590
O20 0.264 0.910 0.590
O21 0.862 0.638 0.638
O22 0.638 0.862 0.638
O23 0.410 0.090 0.736
O24 0.090 0.410 0.736
O25 0.090 0.090 0.764
O26 0.410 0.410 0.764
O27 0.638 0.638 0.862
O28 0.862 0.862 0.862
O29 0.910 0.236 0.910
O30 0.590 0.264 0.910
O31 0.264 0.590 0.910
O32 0.236 0.910 0.910
Pb1 0.385 0.115 0.115
Pb2 0.115 0.385 0.115
Pb3 0.115 0.115 0.385
Pb4 0.385 0.385 0.385
Pb5 0.615 0.615 0.615
Pb6 0.885 0.885 0.615
Pb7 0.885 0.615 0.885
Pb8 0.615 0.885 0.885

Computed properties:
Energy = -396.57 eV for the cell shown
Symmetry = Pn-3m, No. 224


No. 6
Entry from OQMD via LeMat-Bulk: an optimized crystal structure of BeFeHgW (PBE).

a b c (Å): 4.248 4.248 4.248
angles (deg): 60.00 60.00 60.00
Positions (direct):
Be1 0.750 0.750 0.750
Fe1 0.250 0.250 0.250
Hg1 0.500 0.500 0.500
W1 0.000 0.000 0.000

Computed properties:
Energy = -23.30 eV for the cell shown
Symmetry = F-43m, No. 216
Offset from the most stable computed form = 0 meV/atom


No. 7
Entry from OQMD via LeMat-Bulk: an optimized crystal structure of Zr4Pb3 (PBE).

a b c (Å): 8.410 8.410 5.653
angles (deg): 90.00 90.00 60.00
Positions (direct):
Pb1 0.737 0.408 0.000
Pb2 0.266 0.569 0.000
Pb3 0.426 0.880 0.000
Pb4 0.527 0.358 0.500
Pb5 0.687 0.669 0.500
Pb6 0.215 0.830 0.500
Zr1 0.576 0.155 0.000
Zr2 0.143 0.286 0.000
Zr3 0.841 0.718 0.000
Zr4 0.012 0.984 0.000
Zr5 0.377 0.083 0.500
Zr6 0.940 0.254 0.500
Zr7 0.111 0.520 0.500
Zr8 0.810 0.952 0.500

Computed properties:
Energy = -90.46 eV for the cell shown
Symmetry = P6_3/m, No. 176
Offset from the most stable computed form = 68 meV/atom


No. 8
Entry from OQMD via LeMat-Bulk: an optimized crystal structure of HoCuSe2 (PBE).

a b c (Å): 7.388 7.388 7.388
angles (deg): 132.53 132.53 69.40
Positions (direct):
Cu1 0.000 0.000 0.000
Cu2 0.750 0.250 0.500
Ho1 0.500 0.500 0.000
Ho2 0.250 0.750 0.500
Se1 0.375 0.912 0.037
Se2 0.088 0.125 0.463
Se3 0.662 0.625 0.537
Se4 0.875 0.338 0.963

Computed properties:
Energy = -38.75 eV for the cell shown
Symmetry = I-42d, No. 122


No. 9
Entry from OQMD via LeMat-Bulk: an optimized crystal structure of Tm3Mg3Tl2Zn (PBE).

a b c (Å): 7.486 7.486 4.455
angles (deg): 90.00 90.00 120.00
Positions (direct):
Mg1 0.236 0.000 0.500
Mg2 0.000 0.236 0.500
Mg3 0.764 0.764 0.500
Tl1 0.667 0.333 0.500
Tl2 0.333 0.667 0.500
Tm1 0.583 0.000 0.000
Tm2 0.417 0.417 0.000
Tm3 0.000 0.583 0.000
Zn1 0.000 0.000 0.000

Computed properties:
Energy = -26.65 eV for the cell shown
Symmetry = P-62m, No. 189


No. 10
Entry from OQMD via LeMat-Bulk: an optimized crystal structure of NiAs2 (PBE).

a b c (Å): 5.328 5.328 5.328
angles (deg): 60.00 60.00 60.00
Site moments in Bohr magnetons follow the coordinates.
Positions (direct):
As1 0.625 0.625 0.125  0.00
As2 0.625 0.125 0.625  0.00
As3 0.125 0.625 0.625  0.00
As4 0.625 0.625 0.625  0.00
Ni1 0.000 0.000 0.000  0.06
Ni2 0.250 0.250 0.250  0.06

Computed properties:
Energy = -25.02 eV for the cell shown
Symmetry = Fd-3m, No. 227


No. 11
Entry from OQMD via LeMat-Bulk: an optimized crystal structure of Cu2SnHgSe3S (PBE).

a b c (Å): 5.845 5.845 7.042
angles (deg): 114.33 114.33 89.98
Positions (direct):
Cu1 0.741 0.267 0.510
Cu2 0.267 0.741 0.510
Hg1 0.991 0.991 0.994
S1 0.600 0.600 0.716
Se1 0.885 0.399 0.284
Se2 0.399 0.885 0.284
Se3 0.114 0.114 0.711
Sn1 0.503 0.503 0.992

Computed properties:
Energy = -28.58 eV for the cell shown
Symmetry = Cm, No. 8


No. 12
Entry from OQMD via LeMat-Bulk: an optimized crystal structure of FeBPdW (PBE).

a b c (Å): 4.152 4.152 4.152
angles (deg): 60.00 60.00 60.00
Positions (direct):
B1 0.000 0.000 0.000
Fe1 0.750 0.750 0.750
Pd1 0.250 0.250 0.250
W1 0.500 0.500 0.500

Computed properties:
Energy = -30.30 eV for the cell shown
Symmetry = F-43m, No. 216
Offset from the most stable computed form = 144 meV/atom


No. 13
Entry from OQMD via LeMat-Bulk: an optimized crystal structure of PrDyZn2In2 (PBE).

a b c (Å): 4.701 4.701 7.500
angles (deg): 90.00 90.00 120.00
Positions (direct):
Dy1 0.000 0.000 0.521
In1 0.333 0.667 0.304
In2 0.667 0.333 0.785
Pr1 0.000 0.000 0.020
Zn1 0.667 0.333 0.229
Zn2 0.333 0.667 0.710

Computed properties:
Energy = -20.22 eV for the cell shown
Symmetry = P3m1, No. 156


No. 14
Entry from OQMD via LeMat-Bulk: an optimized crystal structure of MgBeCuGe (PBE).

a b c (Å): 4.328 4.328 4.328
angles (deg): 60.00 60.00 60.00
Positions (direct):
Be1 0.750 0.750 0.750
Cu1 0.500 0.500 0.500
Ge1 0.000 0.000 0.000
Mg1 0.250 0.250 0.250

Computed properties:
Energy = -12.79 eV for the cell shown
Symmetry = F-43m, No. 216
Offset from the most stable computed form = 0 meV/atom


No. 15
Entry from OQMD via LeMat-Bulk: an optimized crystal structure of DyLu2Sn4Pd4 (PBE).

a b c (Å): 8.456 8.456 8.456
angles (deg): 150.26 127.95 61.10
Positions (direct):
Dy1 0.000 0.000 0.000
Lu1 0.629 0.129 0.500
Lu2 0.371 0.871 0.500
Pd1 0.619 0.322 0.296
Pd2 0.974 0.678 0.296
Pd3 0.026 0.322 0.704
Pd4 0.381 0.678 0.704
Sn1 0.214 0.214 0.000
Sn2 0.786 0.786 0.000
Sn3 0.696 0.500 0.196
Sn4 0.304 0.500 0.804

Computed properties:
Energy = -59.04 eV for the cell shown
Symmetry = Immm, No. 71


No. 16
Entry from OQMD via LeMat-Bulk: an optimized crystal structure of NdTm2Mg3Tl2Hg (PBE).

a b c (Å): 4.621 7.566 7.566
angles (deg): 121.12 90.00 90.00
Positions (direct):
Hg1 0.000 0.989 0.989
Mg1 0.500 0.238 0.000
Mg2 0.500 0.000 0.238
Mg3 0.500 0.760 0.760
Nd1 0.000 0.422 0.422
Tl1 0.500 0.674 0.332
Tl2 0.500 0.332 0.674
Tm1 0.000 0.582 0.003
Tm2 0.000 0.003 0.582

Computed properties:
Energy = -26.62 eV for the cell shown
Symmetry = Amm2, No. 38


No. 17
Entry from OQMD via LeMat-Bulk: an optimized crystal structure of NbFeSb (PBE).

a b c (Å): 6.412 6.412 4.190
angles (deg): 90.00 90.00 120.00
Site moments in Bohr magnetons follow the coordinates.
Positions (direct):
Fe1 0.234 0.000 0.000  1.77
Fe2 0.000 0.234 0.000  1.91
Fe3 0.766 0.766 0.000  1.72
Nb1 0.566 0.000 0.500  0.17
Nb2 0.434 0.434 0.500  0.15
Nb3 0.000 0.566 0.500  0.25
Sb1 0.667 0.333 0.000  -0.03
Sb2 0.333 0.667 0.000  -0.03
Sb3 0.000 0.000 0.500  -0.01

Computed properties:
Energy = -67.55 eV for the cell shown
Symmetry = P-62m, No. 189


No. 18
Entry from OQMD via LeMat-Bulk: an optimized crystal structure of PrB4 (PBE).

a b c (Å): 7.255 7.255 4.135
angles (deg): 90.00 90.00 90.00
Positions (direct):
B1 0.000 0.000 0.205
B2 0.500 0.500 0.205
B3 0.174 0.039 0.500
B4 0.412 0.088 0.500
B5 0.961 0.174 0.500
B6 0.461 0.326 0.500
B7 0.912 0.412 0.500
B8 0.674 0.461 0.500
B9 0.326 0.539 0.500
B10 0.088 0.588 0.500
B11 0.539 0.674 0.500
B12 0.039 0.826 0.500
B13 0.588 0.912 0.500
B14 0.826 0.961 0.500
B15 0.000 0.000 0.795
B16 0.500 0.500 0.795
Pr1 0.683 0.183 0.000
Pr2 0.183 0.317 0.000
Pr3 0.817 0.683 0.000
Pr4 0.317 0.817 0.000

Computed properties:
Energy = -136.86 eV for the cell shown
Symmetry = P4/mbm, No. 127


No. 19
Entry from OQMD via LeMat-Bulk: an optimized crystal structure of La2GdMg3Cu3 (PBE).

a b c (Å): 4.132 7.635 7.635
angles (deg): 120.62 90.00 90.00
Positions (direct):
Cu1 0.000 0.005 0.005
Cu2 0.500 0.659 0.335
Cu3 0.500 0.335 0.659
Gd1 0.000 0.415 0.415
La1 0.000 0.999 0.584
La2 0.000 0.584 0.999
Mg1 0.500 0.238 0.006
Mg2 0.500 0.006 0.238
Mg3 0.500 0.759 0.759

Computed properties:
Energy = -32.02 eV for the cell shown
Symmetry = Amm2, No. 38


No. 20
Entry from OQMD via LeMat-Bulk: an optimized crystal structure of Sc2BOs (PBE).

a b c (Å): 4.341 4.341 4.341
angles (deg): 60.00 60.00 60.00
Positions (direct):
B1 0.500 0.500 0.500
Os1 0.250 0.250 0.250
Sc1 0.000 0.000 0.000
Sc2 0.750 0.750 0.750

Computed properties:
Energy = -29.93 eV for the cell shown
Symmetry = F-43m, No. 216


No. 21
Entry from OQMD via LeMat-Bulk: an optimized crystal structure of Pr2NiB2IrN2 (PBE).

a b c (Å): 3.722 3.722 7.677
angles (deg): 90.00 90.00 90.00
Positions (direct):
B1 0.000 0.500 0.150
B2 0.500 0.000 0.850
Ir1 0.000 0.000 0.000
N1 0.000 0.500 0.343
N2 0.500 0.000 0.657
Ni1 0.500 0.500 0.000
Pr1 0.500 0.000 0.332
Pr2 0.000 0.500 0.668

Computed properties:
Energy = -62.30 eV for the cell shown
Symmetry = P-4m2, No. 115